[1]
5
Lattice="4.982 0.000 0.000 0.000 4.982 0.000 0.000 0.000 4.912" Properties=species:S:1:pos:R:3 comment="AgAsPtSe2 | Alexandria | PBE | relaxed" relative_energy_mev_per_atom=647.2 space_group=P4/mmm pbc="T T T"
Ag 0.000 0.000 0.000
As 0.000 0.000 2.456
Pt 2.491 2.491 2.456
Se 0.000 2.491 0.000
Se 2.491 0.000 0.000

[2]
19
Lattice="6.551 3.782 4.016 -6.551 3.782 4.016 0.000 -7.565 4.016" Properties=species:S:1:pos:R:3 comment="Er12CoBi6 | Alexandria | PBE | relaxed" formation_energy_mev_per_atom=-430 space_group=R-3 pbc="T T T"
Er 6.185 1.706 5.452
Er -6.185 -1.706 6.595
Er -1.615 -6.210 5.452
Er -2.182 -0.304 4.623
Er -4.570 4.503 5.452
Er 1.354 -1.738 4.623
Er -0.828 -2.042 7.424
Er 0.828 2.042 4.623
Er -1.354 1.738 7.424
Er 4.570 -4.503 6.595
Er 2.182 0.304 7.424
Er 1.615 6.210 6.595
Co 0.000 0.000 0.000
Bi -1.341 -3.286 4.361
Bi -2.175 2.804 4.361
Bi -3.516 -0.482 7.686
Bi 3.516 0.482 4.361
Bi 2.175 -2.804 7.686
Bi 1.341 3.286 7.686

[3]
16
Lattice="8.851 0.000 0.000 0.000 9.199 0.000 0.000 0.000 4.345" Properties=species:S:1:pos:R:3 comment="Hf3In5 | Alexandria | PBE | relaxed" formation_energy_mev_per_atom=-106 space_group=Cmmm pbc="T T T"
Hf 0.000 0.000 0.000
Hf 2.154 4.600 2.173
Hf 2.272 0.000 2.173
Hf 4.426 4.600 0.000
Hf 6.580 0.000 2.173
Hf 6.697 4.600 2.173
In 0.000 2.181 2.173
In 0.000 4.600 0.000
In 0.000 7.018 2.173
In 2.213 2.300 0.000
In 2.213 6.899 0.000
In 4.426 0.000 0.000
In 4.426 2.418 2.173
In 4.426 6.781 2.173
In 6.639 2.300 0.000
In 6.639 6.899 0.000

[4]
12
Lattice="3.228 -3.250 0.000 3.228 3.250 0.000 0.000 0.000 6.264" Properties=species:S:1:pos:R:3 comment="Al2TcPbO8 | Alexandria | PBE | relaxed" total_energy_ry_per_atom=-0.507 space_group=Cmmm pbc="T T T"
Al 0.000 0.000 1.547
Al 0.000 0.000 4.717
Tc 3.228 0.000 0.000
Pb 3.228 0.000 3.132
O 1.120 0.000 3.132
O 1.293 0.000 0.000
O 3.228 1.359 1.371
O 3.228 1.359 4.894
O 3.228 -1.359 1.371
O 3.228 -1.359 4.894
O 5.163 0.000 0.000
O 5.336 0.000 3.132